An optimized crystal structure of Cd3Ag7Hg. Source: Alexandria, functional PBE.

a b c (Å): 7.1533 7.1533 5.2317
angles (deg): 110.26 110.26 91.45
Last column: nearest neighbours and their distance in Å.
Element x y z (fractional)
Cd: 0.0000 0.0000 0.0000  6 Ag 2.86-2.89
Cd: 0.2299 0.7701 0.5000  9 Ag 2.77-3.06
Cd: 0.7701 0.2299 0.5000  9 Ag 2.77-3.06
Ag: 0.0646 0.5896 0.8263  4 Cd 2.86-3.06, 4 Ag 2.92-3.00, 1 Hg 3.08
Ag: 0.1804 0.1804 0.6355  1 Hg 2.79, 3 Cd 2.83-2.89, 2 Ag 2.99
Ag: 0.4104 0.9354 0.1737  4 Cd 2.86-3.06, 4 Ag 2.92-3.00, 1 Hg 3.08
Ag: 0.5000 0.5000 0.5000  2 Hg 2.62, 2 Cd 2.77
Ag: 0.5896 0.0646 0.8263  4 Cd 2.86-3.06, 4 Ag 2.92-3.00, 1 Hg 3.08
Ag: 0.8196 0.8196 0.3645  1 Hg 2.79, 3 Cd 2.83-2.89, 2 Ag 2.99
Ag: 0.9354 0.4104 0.1737  4 Cd 2.86-3.06, 4 Ag 2.92-3.00, 1 Hg 3.08
Hg: 0.5000 0.5000 0.0000  4 Ag 2.62-2.79

## Properties
DFT total energy ... -1.961 eV/atom
V ... 232.36 Å³/cell
Calculated formation energy ... 130 meV per atom